! GGA-PBE Tm2HPd6, relaxed; values from VASP
&SYSTEM
  ibrav = 0, nat = 9, ntyp = 3
/
ATOMIC_SPECIES
Tm 168.93 Tm.upf
H 1.01 H.upf
Pd 106.42 Pd.upf
CELL_PARAMETERS angstrom
-2.8993 2.8993 4.1287
2.8993 -2.8993 4.1287
2.8993 2.8993 -4.1287
ATOMIC_POSITIONS angstrom
Tm 2.8993 0.0000 2.0643
Tm 0.0000 2.8993 2.0643
H 0.0000 0.0000 0.0000
Pd 0.0000 0.0000 2.0744
Pd 1.4582 1.4582 0.0000
Pd 1.4411 -1.4411 4.1287
Pd -1.4411 1.4411 4.1287
Pd 0.0000 0.0000 6.1829
Pd 1.4411 1.4411 4.1287
! **SG**: I4/mmm (139)
! **Uncorrected energy**: -5.69 eV per atom

! GGA-PBE AcPrDy2Sb4, relaxed; values from VASP
&SYSTEM
  ibrav = 0, nat = 8, ntyp = 4
/
ATOMIC_SPECIES
Ac 227.00 Ac.upf
Pr 140.91 Pr.upf
Dy 162.50 Dy.upf
Sb 121.76 Sb.upf
CELL_PARAMETERS angstrom
7.8439 0.0000 0.0000
0.0000 4.5387 0.0000
-2.6209 0.0000 7.4111
ATOMIC_POSITIONS angstrom
Ac 0.0000 0.0000 0.0000
Pr -1.3105 2.2694 3.7056
Dy 2.6115 0.0000 3.7056
Dy 3.9220 2.2694 0.0000
Sb 0.1143 0.0000 5.5557
Sb 1.4267 2.2694 1.9417
Sb 3.7963 2.2694 5.4694
Sb 5.1086 0.0000 1.8554
! **Formation energy (no corrections)**: -1148 meV/atom
! **SG**: P2/m (10)

! GGA-PBE Mn3TeN, relaxed; values from VASP
&SYSTEM
  ibrav = 0, nat = 5, ntyp = 3
/
ATOMIC_SPECIES
Mn 54.94 Mn.upf
Te 127.60 Te.upf
N 14.01 N.upf
CELL_PARAMETERS angstrom
4.7154 0.0000 0.0000
0.0000 4.7154 0.0000
0.0000 0.0000 4.7154
ATOMIC_POSITIONS angstrom
Mn 0.0000 0.0000 2.3577
Mn 0.0000 2.3577 0.0000
Mn 2.3577 0.0000 0.0000
Te 0.0000 0.0000 0.0000
N 2.3577 2.3577 2.3577
! **Formation energy (no corrections)**: 2792 meV/atom
! **SG**: Pm-3m (221)
! **ΔE to the lowest computed polymorph**: 63.24 kcal/mol of atoms

Calculated calculated volume, 15.4; 33.0; 21.0 Å³ per atom (same order as the records).
Calculated total magnetic moment, 0.00; 0.00; 2.26 μB/f.u. (same order as the records).